LaErNiI after structural relaxation, computed with PBE.

POSCAR file:
```
LaErNiI
1.0
-2.2851 -2.9261 -1.6863
2.3759 -0.8589 3.2012
-5.2868 4.0787 5.0182
La Er Ni I
1 1 1 1
direct
0.5162 0.1561 0.6875 La
0.0917 0.9438 0.0508 Er
0.3100 0.5528 0.8779 Ni
0.9601 0.3782 0.3534 I
```

Output
Electronic total energy   -19.6 eV for the cell shown
N(E_F)   0.9765 states/eV/atom
Crystal system   trigonal
Formation energy (no corrections)   -15.837 kcal/mol of atoms
Space-group type   No. 160
Calculated volume   28.85 Å³ per atom
Spin magnetization   0.00 μB per formula unit